[1]
Compound: V2HgBi2
Source: Alexandria via LeMat-Bulk
Functional: PBE
Structure: relaxed

Output
Formation energy (eV per atom): 0.341
M_tot (μB per cell): 3.88
Energy (eV/atom): -4.92

Lattice parameters (Å, degrees): 7.443 7.443 3.882 90.00 90.00 90.00
Each line ends with the local moment (μB).
Positions (direct):
Hg 0.000 0.000 0.000  0.00
Hg 0.500 0.500 0.000  0.00
Bi 0.165 0.665 0.500  -0.07
Bi 0.665 0.835 0.500  -0.07
Bi 0.835 0.335 0.500  -0.07
Bi 0.335 0.165 0.500  -0.07
V 0.376 0.876 0.000  0.93
V 0.876 0.624 0.000  0.93
V 0.624 0.124 0.000  0.93
V 0.124 0.376 0.000  0.93

[2]
Compound: HgBiW3
Source: Alexandria via LeMat-Bulk
Functional: PBE
Structure: relaxed

Output
Formation energy (eV per atom): 2.858
M_tot (μB per cell): 0.00
Energy (eV/atom): -5.75

Lattice parameters (Å, degrees): 4.985 4.985 4.985 90.00 90.00 90.00
Positions (direct):
Bi 0.500 0.500 0.500
W 0.000 0.500 0.000
W 0.000 0.000 0.500
W 0.500 0.000 0.000
Hg 0.000 0.000 0.000

[3]
Compound: HgBiW3
Source: Alexandria via LeMat-Bulk
Functional: PBE
Structure: relaxed

Output
Formation energy (eV per atom): 3.064
M_tot (μB per cell): 0.00
Energy (eV/atom): -5.54

Lattice parameters (Å, degrees): 5.027 5.027 5.027 90.00 90.00 90.00
Positions (direct):
Bi 0.000 0.000 0.000
W 0.000 0.500 0.000
W 0.000 0.000 0.500
W 0.500 0.000 0.000
Hg 0.500 0.500 0.500